*1*
A plane-wave DFT calculation with PBE was carried out for a relaxed PrNi3P3 crystal.

Unit cell a=7.689 b=7.689 c=7.689 alpha=49.91 beta=49.91 gamma=49.91
Element x y z (fractional)
Pr: 0.167 0.167 0.167
Pr: 0.833 0.833 0.833
Ni: 0.036 0.709 0.374
Ni: 0.291 0.626 0.964
Ni: 0.374 0.036 0.709
Ni: 0.626 0.964 0.291
Ni: 0.709 0.374 0.036
Ni: 0.964 0.291 0.626
P: 0.079 0.402 0.729
P: 0.271 0.921 0.598
P: 0.402 0.729 0.079
P: 0.598 0.271 0.921
P: 0.729 0.079 0.402
P: 0.921 0.598 0.271

Calculated values
* total moment: 0.00 μB/atom
* N(E_F): 0.596 states/eV/atom

*2*
A plane-wave DFT calculation with PBE was carried out for a relaxed PrNi3P3 crystal.

Unit cell a=6.150 b=6.150 c=6.150 alpha=90.00 beta=90.00 gamma=90.00
Element x y z (fractional)
Pr: 0.000 0.000 0.000
Pr: 0.500 0.500 0.500
Ni: 0.000 0.250 0.500
Ni: 0.000 0.750 0.500
Ni: 0.250 0.500 0.000
Ni: 0.500 0.000 0.250
Ni: 0.500 0.000 0.750
Ni: 0.750 0.500 0.000
P: 0.000 0.500 0.250
P: 0.000 0.500 0.750
P: 0.250 0.000 0.500
P: 0.500 0.250 0.000
P: 0.500 0.750 0.000
P: 0.750 0.000 0.500

Calculated values
* total moment: 0.00 μB/atom
* N(E_F): 0.670 states/eV/atom

Tell me which of them is the most stable. Sure, it is *1*.

*1*
A plane-wave DFT calculation with PBE was carried out for a relaxed NiP2Pt crystal.

Unit cell a=4.930 b=4.930 c=4.930 alpha=147.08 beta=120.61 gamma=69.59
Element x y z (fractional)
Ni: 0.000 0.000 0.000
P: 0.233 0.733 0.500
P: 0.767 0.267 0.500
Pt: 0.500 0.500 0.000

Calculated values
* total moment: 0.00 μB/atom
* N(E_F): 0.641 states/eV/atom

*2*
A plane-wave DFT calculation with PBE was carried out for a relaxed NiP2Pt crystal.

Unit cell a=3.381 b=3.381 c=5.038 alpha=90.00 beta=90.00 gamma=90.00
Element x y z (fractional)
Ni: 0.000 0.000 0.000
P: 0.000 0.000 0.447
P: 0.500 0.500 0.048
Pt: 0.500 0.500 0.566

Calculated values
* total moment: 0.00 μB/atom
* N(E_F): 0.444 states/eV/atom

Tell me which of them is the most stable. Sure, it is *2*.

*1*
A plane-wave DFT calculation with PBE was carried out for a relaxed NiP2Pt crystal.

Unit cell a=4.794 b=4.794 c=4.794 alpha=142.33 beta=124.91 gamma=68.67
Element x y z (fractional)
Ni: 0.000 0.000 0.000
P: 0.544 0.544 0.000
P: 0.787 0.287 0.500
Pt: 0.298 0.798 0.500

Calculated values
* total moment: 0.00 μB/atom
* N(E_F): 0.349 states/eV/atom

*2*
A plane-wave DFT calculation with PBE was carried out for a relaxed NiP2Pt crystal.

Unit cell a=3.490 b=3.490 c=5.838 alpha=106.73 beta=106.73 gamma=58.77
Element x y z (fractional)
Ni: 0.000 0.000 0.000
P: 0.257 0.257 0.772
P: 0.743 0.743 0.228
Pt: 0.500 0.500 0.500

Calculated values
* total moment: 0.00 μB/atom
* N(E_F): 0.463 states/eV/atom

*3*
A plane-wave DFT calculation with PBE was carried out for a relaxed NiP2Pt crystal.

Unit cell a=6.281 b=6.281 c=6.281 alpha=130.44 beta=130.44 gamma=72.71
Element x y z (fractional)
Ni: 0.000 0.000 0.000
Ni: 0.750 0.250 0.500
P: 0.103 0.625 0.978
P: 0.375 0.353 0.478
P: 0.647 0.125 0.022
P: 0.875 0.897 0.522
Pt: 0.250 0.750 0.500
Pt: 0.500 0.500 0.000

Calculated values
* total moment: 0.00 μB/atom
* N(E_F): 0.734 states/eV/atom

Tell me which of them is the most stable. Sure, it is *3*.

*1*
A plane-wave DFT calculation with PBE was carried out for a relaxed NiP2Pt crystal.

Unit cell a=4.800 b=4.680 c=3.827 alpha=67.85 beta=64.55 gamma=47.60
Element x y z (fractional)
Ni: 0.000 0.000 0.000
P: 0.000 0.500 0.500
P: 0.500 0.000 0.000
Pt: 0.500 0.500 0.500

Calculated values
* total moment: 0.00 μB/atom
* N(E_F): 0.492 states/eV/atom

*2*
A plane-wave DFT calculation with PBE was carried out for a relaxed NiP2Pt crystal.

Unit cell a=3.118 b=3.118 c=5.556 alpha=90.00 beta=90.00 gamma=90.00
Element x y z (fractional)
Ni: 0.000 0.000 0.000
P: 0.500 0.500 0.224
P: 0.500 0.500 0.776
Pt: 0.000 0.000 0.500

Calculated values
* total moment: 0.00 μB/atom
* N(E_F): 0.735 states/eV/atom

*3*
A plane-wave DFT calculation with PBE was carried out for a relaxed NiP2Pt crystal.

Unit cell a=3.947 b=3.947 c=4.938 alpha=90.04 beta=90.04 gamma=50.70
Element x y z (fractional)
Ni: 0.000 0.000 0.000
P: 0.287 0.287 0.173
P: 0.571 0.571 0.723
Pt: 0.862 0.862 0.499

Calculated values
* total moment: 0.00 μB/atom
* N(E_F): 0.390 states/eV/atom

*4*
A plane-wave DFT calculation with PBE was carried out for a relaxed NiP2Pt crystal.

Unit cell a=4.132 b=4.132 c=3.198 alpha=90.00 beta=90.00 gamma=90.00
Element x y z (fractional)
Ni: 0.000 0.000 0.000
P: 0.000 0.500 0.500
P: 0.500 0.000 0.500
Pt: 0.500 0.500 0.000

Calculated values
* total moment: 0.00 μB/atom
* N(E_F): 0.643 states/eV/atom

Tell me which of them is the most stable. Sure, it is *3*.

*1*
A plane-wave DFT calculation with PBE was carried out for a relaxed NiP2Pt crystal.

Unit cell a=4.807 b=4.807 c=4.807 alpha=135.37 beta=135.37 gamma=64.95
Element x y z (fractional)
Ni: 0.000 0.000 0.000
P: 0.250 0.750 0.500
P: 0.500 0.500 0.000
Pt: 0.750 0.250 0.500

Calculated values
* total moment: 0.00 μB/atom
* N(E_F): 0.531 states/eV/atom

*2*
A plane-wave DFT calculation with PBE was carried out for a relaxed NiP2Pt crystal.

Unit cell a=4.070 b=3.659 c=4.425 alpha=90.00 beta=102.38 gamma=90.00
Element x y z (fractional)
Ni: 0.000 0.000 0.000
P: 0.328 0.500 0.153
P: 0.672 0.500 0.847
Pt: 0.500 0.000 0.500

Calculated values
* total moment: 0.00 μB/atom
* N(E_F): 0.312 states/eV/atom

Tell me which of them is the most stable. Sure, it is *2*.

*1*
A plane-wave DFT calculation with PBE was carried out for a relaxed NiP2Pt crystal.

Unit cell a=4.272 b=4.272 c=4.272 alpha=60.00 beta=60.00 gamma=60.00
Element x y z (fractional)
Ni: 0.000 0.000 0.000
P: 0.250 0.250 0.250
P: 0.500 0.500 0.500
Pt: 0.750 0.750 0.750

Calculated values
* total moment: 0.00 μB/atom
* N(E_F): 0.444 states/eV/atom

*2*
A plane-wave DFT calculation with PBE was carried out for a relaxed NiP2Pt crystal.

Unit cell a=4.251 b=4.251 c=4.251 alpha=60.00 beta=60.00 gamma=60.00
Element x y z (fractional)
Ni: 0.000 0.000 0.000
P: 0.250 0.250 0.250
P: 0.750 0.750 0.750
Pt: 0.500 0.500 0.500

Calculated values
* total moment: 0.00 μB/atom
* N(E_F): 0.560 states/eV/atom

*3*
A plane-wave DFT calculation with PBE was carried out for a relaxed NiP2Pt crystal.

Unit cell a=2.787 b=3.571 c=6.192 alpha=90.00 beta=90.76 gamma=90.00
Element x y z (fractional)
Ni: 0.000 0.000 0.000
P: 0.000 0.000 0.637
P: 0.499 0.500 0.073
Pt: 0.006 0.500 0.392

Calculated values
* total moment: 0.00 μB/atom
* N(E_F): 0.588 states/eV/atom

Tell me which of them is the most stable. Sure, it is *3*.